# PaSnCl6

A relaxed structure of PaSnCl6 (GGA-PBE, Alexandria via LeMat-Bulk).

Properties
Crystal system: trigonal
E_form (uncorrected) (eV per atom): -1.55
Relative energy among the computed polymorphs (eV/atom): 0.000
Space-group type: R-3, No. 148

Unit cell a=7.501 b=7.501 c=7.501 alpha=55.02 beta=55.02 gamma=55.02
Positions (direct):
1 Pa 0.000 0.000 0.000
2 Sn 0.500 0.500 0.500
3 Cl 0.086 0.764 0.392
4 Cl 0.236 0.608 0.914
5 Cl 0.392 0.086 0.764
6 Cl 0.608 0.914 0.236
7 Cl 0.764 0.392 0.086
8 Cl 0.914 0.236 0.608